Arrangement i

Material: InPCl2
Method: DFT, PBE
State: optimized geometry

Geometry as CIF:
```
data_InPCl2
_chemical_formula_sum 'In2 P2 Cl4'
_symmetry_space_group_name_H-M 'C m m m'
_symmetry_Int_Tables_number 65
_symmetry_space_group_name_Hall '-C 2 2'
_cell_length_a 6.406
_cell_length_b 8.365
_cell_length_c 3.272
_cell_angle_alpha 90.00
_cell_angle_beta 90.00
_cell_angle_gamma 90.00
loop_
_atom_site_label
_atom_site_type_symbol
_atom_site_fract_x
_atom_site_fract_y
_atom_site_fract_z
In1 In 0.000 0.000 0.000
P1 P 0.000 0.500 0.000
Cl1 Cl 0.250 0.250 0.500
```

---

Arrangement ii

Material: InPCl2
Method: DFT, PBE
State: optimized geometry

Geometry as CIF:
```
data_InPCl2
_chemical_formula_sum 'In4 P4 Cl8'
_symmetry_space_group_name_H-M 'F m -3 m'
_symmetry_Int_Tables_number 225
_symmetry_space_group_name_Hall '-F 4 2 3'
_cell_length_a 7.260
_cell_length_b 7.260
_cell_length_c 7.260
_cell_angle_alpha 90.00
_cell_angle_beta 90.00
_cell_angle_gamma 90.00
loop_
_atom_site_label
_atom_site_type_symbol
_atom_site_fract_x
_atom_site_fract_y
_atom_site_fract_z
In1 In 0.000 0.000 0.000
P1 P 0.000 0.000 0.500
Cl1 Cl 0.250 0.250 0.250
```

---

Arrangement iii

Material: InPCl2
Method: DFT, PBE
State: optimized geometry

Geometry as CIF:
```
data_InPCl2
_chemical_formula_sum 'In3 P3 Cl6'
_symmetry_space_group_name_H-M 'R -3 m'
_symmetry_Int_Tables_number 166
_symmetry_space_group_name_Hall '-R 3 2"'
_cell_length_a 3.3618
_cell_length_b 3.3618
_cell_length_c 26.8941
_cell_angle_alpha 90.00
_cell_angle_beta 90.00
_cell_angle_gamma 120.00
loop_
_atom_site_label
_atom_site_type_symbol
_atom_site_fract_x
_atom_site_fract_y
_atom_site_fract_z
In1 In 0.0000 0.0000 0.0000
P1 P 0.0000 0.0000 0.5000
Cl1 Cl 0.0000 0.0000 0.2443
```

---

Arrangement iv

Material: InPCl2
Method: DFT, PBE
State: optimized geometry

Geometry as CIF:
```
data_InPCl2
_chemical_formula_sum 'In2 P2 Cl4'
_symmetry_space_group_name_H-M 'C m m m'
_symmetry_Int_Tables_number 65
_symmetry_space_group_name_Hall '-C 2 2'
_cell_length_a 3.345
_cell_length_b 6.361
_cell_length_c 9.215
_cell_angle_alpha 90.00
_cell_angle_beta 90.00
_cell_angle_gamma 90.00
loop_
_atom_site_label
_atom_site_type_symbol
_atom_site_fract_x
_atom_site_fract_y
_atom_site_fract_z
In1 In 0.000 0.000 0.000
P1 P 0.000 0.000 0.500
Cl1 Cl 0.000 0.500 0.306
```

---

The winner here is arrangement iv, beating the second structure by 187 meV per atom.

---

Arrangement i

Material: In2P2Cl
Method: DFT, PBE
State: optimized geometry

Geometry as CIF:
```
data_In2P2Cl
_chemical_formula_sum 'In4 P4 Cl2'
_symmetry_space_group_name_H-M 'P 4/m b m'
_symmetry_Int_Tables_number 127
_symmetry_space_group_name_Hall '-P 4 2ab'
_cell_length_a 7.967
_cell_length_b 7.967
_cell_length_c 3.675
_cell_angle_alpha 90.00
_cell_angle_beta 90.00
_cell_angle_gamma 90.00
loop_
_atom_site_label
_atom_site_type_symbol
_atom_site_fract_x
_atom_site_fract_y
_atom_site_fract_z
In1 In 0.191 0.309 0.000
P1 P 0.096 0.596 0.500
Cl1 Cl 0.000 0.000 0.000
```

---

Arrangement ii

Material: In2P2Cl
Method: DFT, PBE
State: optimized geometry

Geometry as CIF:
```
data_In2P2Cl
_chemical_formula_sum 'In4 P4 Cl2'
_symmetry_space_group_name_H-M 'I 4/m m m'
_symmetry_Int_Tables_number 139
_symmetry_space_group_name_Hall '-I 4 2'
_cell_length_a 3.407
_cell_length_b 3.407
_cell_length_c 19.961
_cell_angle_alpha 90.00
_cell_angle_beta 90.00
_cell_angle_gamma 90.00
loop_
_atom_site_label
_atom_site_type_symbol
_atom_site_fract_x
_atom_site_fract_y
_atom_site_fract_z
In1 In 0.000 0.000 0.107
P1 P 0.000 0.500 0.250
Cl1 Cl 0.000 0.000 0.500
```

---

The winner here is arrangement ii, beating the second structure by 201 meV per atom.

---

Arrangement i

Material: InPPbCl2
Method: DFT, PBE
State: optimized geometry

Geometry as CIF:
```
data_InPPbCl2
_chemical_formula_sum 'In1 P1 Pb1 Cl2'
_symmetry_space_group_name_H-M 'P 4/m m m'
_symmetry_Int_Tables_number 123
_symmetry_space_group_name_Hall '-P 4 2'
_cell_length_a 5.433
_cell_length_b 5.433
_cell_length_c 5.798
_cell_angle_alpha 90.00
_cell_angle_beta 90.00
_cell_angle_gamma 90.00
loop_
_atom_site_label
_atom_site_type_symbol
_atom_site_fract_x
_atom_site_fract_y
_atom_site_fract_z
In1 In 0.000 0.000 0.000
P1 P 0.000 0.000 0.500
Pb1 Pb 0.500 0.500 0.500
Cl1 Cl 0.000 0.500 0.000
```

---

Arrangement ii

Material: InPPbCl2
Method: DFT, PBE
State: optimized geometry

Geometry as CIF:
```
data_InPPbCl2
_chemical_formula_sum 'In1 P1 Pb1 Cl2'
_symmetry_space_group_name_H-M 'P 4/m m m'
_symmetry_Int_Tables_number 123
_symmetry_space_group_name_Hall '-P 4 2'
_cell_length_a 5.584
_cell_length_b 5.584
_cell_length_c 5.314
_cell_angle_alpha 90.00
_cell_angle_beta 90.00
_cell_angle_gamma 90.00
loop_
_atom_site_label
_atom_site_type_symbol
_atom_site_fract_x
_atom_site_fract_y
_atom_site_fract_z
In1 In 0.000 0.000 0.000
P1 P 0.500 0.500 0.000
Pb1 Pb 0.500 0.500 0.500
Cl1 Cl 0.000 0.500 0.500
```

---

The winner here is arrangement ii, beating the second structure by 54 meV per atom.

---

Arrangement i

Material: InP2PdCl
Method: DFT, PBE
State: optimized geometry

Geometry as CIF:
```
data_InP2PdCl
_chemical_formula_sum 'In1 P2 Pd1 Cl1'
_symmetry_space_group_name_H-M 'P 4/m m m'
_symmetry_Int_Tables_number 123
_symmetry_space_group_name_Hall '-P 4 2'
_cell_length_a 4.494
_cell_length_b 4.494
_cell_length_c 7.304
_cell_angle_alpha 90.00
_cell_angle_beta 90.00
_cell_angle_gamma 90.00
loop_
_atom_site_label
_atom_site_type_symbol
_atom_site_fract_x
_atom_site_fract_y
_atom_site_fract_z
In1 In 0.000 0.000 0.000
P1 P 0.000 0.500 0.500
Pd1 Pd 0.500 0.500 0.500
Cl1 Cl 0.500 0.500 0.000
```

---

Arrangement ii

Material: InP2PdCl
Method: DFT, PBE
State: optimized geometry

Geometry as CIF:
```
data_InP2PdCl
_chemical_formula_sum 'In1 P2 Pd1 Cl1'
_symmetry_space_group_name_H-M 'P 4/m m m'
_symmetry_Int_Tables_number 123
_symmetry_space_group_name_Hall '-P 4 2'
_cell_length_a 4.791
_cell_length_b 4.791
_cell_length_c 4.613
_cell_angle_alpha 90.00
_cell_angle_beta 90.00
_cell_angle_gamma 90.00
loop_
_atom_site_label
_atom_site_type_symbol
_atom_site_fract_x
_atom_site_fract_y
_atom_site_fract_z
In1 In 0.000 0.000 0.000
P1 P 0.000 0.500 0.500
Pd1 Pd 0.500 0.500 0.000
Cl1 Cl 0.500 0.500 0.500
```

---

Arrangement iii

Material: InP2PdCl
Method: DFT, PBE
State: optimized geometry

Geometry as CIF:
```
data_InP2PdCl
_chemical_formula_sum 'In1 P2 Pd1 Cl1'
_symmetry_space_group_name_H-M 'P 4/m m m'
_symmetry_Int_Tables_number 123
_symmetry_space_group_name_Hall '-P 4 2'
_cell_length_a 5.052
_cell_length_b 5.052
_cell_length_c 5.065
_cell_angle_alpha 90.00
_cell_angle_beta 90.00
_cell_angle_gamma 90.00
loop_
_atom_site_label
_atom_site_type_symbol
_atom_site_fract_x
_atom_site_fract_y
_atom_site_fract_z
In1 In 0.000 0.000 0.000
P1 P 0.000 0.500 0.000
Pd1 Pd 0.500 0.500 0.500
Cl1 Cl 0.000 0.000 0.500
```

---

The winner here is arrangement i, beating the second structure by 647 meV per atom.